[1]
ErAl4Hg | PBE | optimized geometry

Output
- VASP energy (eV per atom) = -3.44
- energy relative to the elements (eV/atom) = -0.130
- space group = No. 216
- magnetic moment (μB per formula unit) = 0.00

The structure in POSCAR format:
```
ErAl4Hg
1.0
0.000 3.918 3.918
3.918 0.000 3.918
3.918 3.918 0.000
Er Al Hg
1 4 1
Direct
0.000 0.000 0.000
0.374 0.374 0.374
0.374 0.374 0.878
0.374 0.878 0.374
0.878 0.374 0.374
0.750 0.750 0.750
```

[2]
Sm2TmSn2Rh5 | PBE | optimized geometry

Output
- VASP energy (eV per atom) = -6.51
- energy relative to the elements (eV/atom) = -0.647
- space group = No. 127
- magnetic moment (μB per formula unit) = 0.00

The structure in POSCAR format:
```
Sm2TmSn2Rh5
1.0
10.314 0.000 0.000
0.000 10.314 0.000
0.000 0.000 3.802
Sm Tm Sn Rh
4 2 4 10
Direct
0.172 0.328 0.000
0.328 0.828 0.000
0.672 0.172 0.000
0.828 0.672 0.000
0.000 0.000 0.000
0.500 0.500 0.000
0.126 0.626 0.000
0.374 0.126 0.000
0.626 0.874 0.000
0.874 0.374 0.000
0.000 0.500 0.500
0.064 0.794 0.500
0.206 0.064 0.500
0.294 0.564 0.500
0.436 0.294 0.500
0.500 0.000 0.500
0.564 0.706 0.500
0.706 0.436 0.500
0.794 0.936 0.500
0.936 0.206 0.500
```

[3]
TiZn3S | PBE | optimized geometry

Output
- VASP energy (eV per atom) = -2.48
- energy above the lowest structure with this stoichiometry (meV/atom) = 0
- space group = No. 221
- magnetic moment (μB per formula unit) = 0.01

The structure in POSCAR format:
```
TiZn3S
1.0
4.610 0.000 0.000
0.000 4.610 0.000
0.000 0.000 4.610
Ti Zn S
1 3 1
Direct
0.000 0.000 0.000
0.000 0.500 0.500
0.500 0.000 0.500
0.500 0.500 0.000
0.500 0.500 0.500
```

[4]
ScPa2Pb9 | PBE | optimized geometry

Output
- VASP energy (eV per atom) = -4.93
- energy relative to the elements (eV/atom) = -0.035
- space group = No. 123
- magnetic moment (μB per formula unit) = 0.00

The structure in POSCAR format:
```
ScPa2Pb9
1.0
4.813 0.000 0.000
0.000 4.813 0.000
0.000 0.000 14.434
Sc Pa Pb
1 2 9
Direct
0.000 0.000 0.000
0.000 0.000 0.337
0.000 0.000 0.663
0.000 0.500 0.163
0.000 0.500 0.500
0.000 0.500 0.837
0.500 0.000 0.163
0.500 0.000 0.500
0.500 0.000 0.837
0.500 0.500 0.000
0.500 0.500 0.332
0.500 0.500 0.668
```

[5]
Ho6Ir5Pd | PBE | optimized geometry

Output
- VASP energy (eV per atom) = -7.29
- energy relative to the elements (eV/atom) = -0.878
- space group = No. 65
- magnetic moment (μB per formula unit) = 0.00

The structure in POSCAR format:
```
Ho6Ir5Pd
1.0
2.384 -7.153 0.000
2.384 7.153 0.000
0.000 0.000 7.057
Ho Ir Pd
6 5 1
Direct
0.000 0.000 0.246
0.000 0.000 0.754
0.331 0.669 0.249
0.331 0.669 0.751
0.669 0.331 0.249
0.669 0.331 0.751
0.165 0.835 0.500
0.167 0.833 0.000
0.500 0.500 0.000
0.833 0.167 0.000
0.835 0.165 0.500
0.500 0.500 0.500
```

[6]
LaMgTl4 | PBE | optimized geometry

Output
- VASP energy (eV per atom) = -2.65
- energy relative to the elements (eV/atom) = 0.018
- space group = No. 216
- magnetic moment (μB per formula unit) = 0.00

The structure in POSCAR format:
```
LaMgTl4
1.0
0.000 4.494 4.494
4.494 0.000 4.494
4.494 4.494 0.000
La Mg Tl
1 1 4
Direct
0.000 0.000 0.000
0.750 0.750 0.750
0.375 0.375 0.375
0.375 0.375 0.874
0.375 0.874 0.375
0.874 0.375 0.375
```

[7]
Tb5Pr2NdY | PBE | optimized geometry

Output
- VASP energy (eV per atom) = -4.62
- energy relative to the elements (eV/atom) = 0.261
- space group = No. 140
- magnetic moment (μB per formula unit) = 0.00

The structure in POSCAR format:
```
Tb5Pr2NdY
1.0
-4.383 4.383 7.888
4.383 -4.383 7.888
4.383 4.383 -7.888
Tb Pr Nd Y
10 4 2 2
Direct
0.000 0.000 0.000
0.073 0.573 0.924
0.149 0.073 0.500
0.351 0.851 0.924
0.427 0.351 0.500
0.500 0.500 0.000
0.573 0.649 0.500
0.649 0.149 0.076
0.851 0.927 0.500
0.927 0.427 0.076
0.118 0.382 0.500
0.382 0.882 0.264
0.618 0.118 0.736
0.882 0.618 0.500
0.250 0.250 0.000
0.750 0.750 0.000
0.250 0.750 0.500
0.750 0.250 0.500
```

[8]
MgGa3Ir2 | PBE | optimized geometry

Output
- VASP energy (eV per atom) = -4.96
- energy relative to the elements (eV/atom) = -0.230
- space group = No. 164
- magnetic moment (μB per formula unit) = 0.00

The structure in POSCAR format:
```
MgGa3Ir2
1.0
5.829 0.000 0.000
-2.914 5.048 0.000
0.000 0.000 6.470
Mg Ga Ir
2 6 4
Direct
0.333 0.667 0.328
0.667 0.333 0.672
0.168 0.335 0.689
0.168 0.832 0.689
0.335 0.168 0.311
0.665 0.832 0.689
0.832 0.168 0.311
0.832 0.665 0.311
0.000 0.000 0.000
0.000 0.500 0.000
0.500 0.000 0.000
0.500 0.500 0.000
```